# 1
Compound: Na2Sr2I
Source: Alexandria
Functional: GGA-PBE
Structure: relaxed

Unit cell a=4.3763 b=4.3763 c=11.4802 alpha=79.01 beta=79.01 gamma=90.00
With the nearest neighbours (Å) after each atom.
Element x y z (fractional)
Sr: 0.3977 0.3977 0.2047  4 I 3.83, 4 Na 3.93
Na: 0.7500 0.2500 0.5000  4 Na 3.09
Sr: 0.6023 0.6023 0.7953  4 I 3.83, 4 Na 3.93
I: 0.0000 0.0000 0.0000  8 Sr 3.83
Na: 0.2500 0.7500 0.5000  4 Na 3.09

Results
Relative energy among the computed polymorphs, meV/atom: 45
Formation energy (no corrections), eV/atom: -0.287

# 2
Compound: NaSrI2
Source: Alexandria
Functional: GGA-PBE
Structure: relaxed

Unit cell a=4.4588 b=4.4588 c=9.0956 alpha=75.81 beta=75.81 gamma=60.00
With the nearest neighbours (Å) after each atom.
Element x y z (fractional)
I: 0.2575 0.2575 0.2276  3 Na 3.26, 3 Sr 3.51
Sr: 0.4998 0.4998 0.5005  6 I 3.51
Na: 0.6674 0.6674 0.9979  6 I 3.23-3.26
I: 0.0753 0.0753 0.7740  3 Na 3.23, 3 Sr 3.51

Results
Relative energy among the computed polymorphs, meV/atom: 0
Formation energy (no corrections), eV/atom: -1.170

# 3
Compound: Na2Sr4I9
Source: Alexandria
Functional: GGA-PBE
Structure: relaxed

Unit cell a=8.2322 b=8.2338 c=23.1381 alpha=90.02 beta=90.03 gamma=60.01
With the nearest neighbours (Å) after each atom.
Element x y z (fractional)
Sr: 0.3336 0.3336 0.9906  6 I 3.34-3.36
Sr: 0.3338 0.3333 0.6785  6 I 3.29-3.36
Sr: 0.6673 0.6667 0.8217  6 I 3.29-3.36
I: 0.3090 0.0002 0.2500  2 Sr 3.29, 2 Na 3.32
Na: 0.9995 0.0001 0.3417  6 I 3.30-3.32
Sr: 0.3327 0.3333 0.1783  6 I 3.29-3.36
I: 0.0229 0.3308 0.0841  1 Na 3.31, 3 Sr 3.34-3.36
I: 0.9771 0.6692 0.9159  1 Na 3.31, 3 Sr 3.34-3.36
Sr: 0.3334 0.3333 0.4906  6 I 3.34-3.36
Sr: 0.6664 0.6664 0.0094  6 I 3.34-3.36
I: 0.6459 0.3314 0.5843  1 Na 3.31, 3 Sr 3.34-3.36
I: 0.6910 0.9998 0.7500  2 Sr 3.29, 2 Na 3.32
I: 0.6452 0.0227 0.0843  1 Na 3.30, 3 Sr 3.34-3.36
I: 0.3541 0.6686 0.4157  1 Na 3.31, 3 Sr 3.34-3.36
I: 0.3548 0.9773 0.9157  1 Na 3.30, 3 Sr 3.34-3.36
I: 0.9768 0.3547 0.4156  1 Na 3.31, 3 Sr 3.34-3.36
I: 0.3317 0.0229 0.5843  1 Na 3.30, 3 Sr 3.34-3.36
I: 0.0005 0.3095 0.7501  2 Sr 3.29, 2 Na 3.32
I: 0.9995 0.6905 0.2499  2 Sr 3.29, 2 Na 3.32
I: 0.0232 0.6453 0.5844  1 Na 3.31, 3 Sr 3.34-3.36
I: 0.3099 0.6905 0.7501  2 Sr 3.29, 2 Na 3.32
I: 0.6683 0.9771 0.4157  1 Na 3.30, 3 Sr 3.34-3.36
Na: 0.0004 0.0001 0.8418  6 I 3.30-3.32
Sr: 0.6662 0.6667 0.3215  6 I 3.29-3.36
Sr: 0.6666 0.6667 0.5094  6 I 3.34-3.36
I: 0.3315 0.6455 0.0845  1 Na 3.31, 3 Sr 3.34-3.36
I: 0.6901 0.3095 0.2499  2 Sr 3.29, 2 Na 3.32
I: 0.6685 0.3545 0.9155  1 Na 3.31, 3 Sr 3.34-3.36
Na: 0.0005 0.9999 0.6583  6 I 3.30-3.32
Na: 0.9996 0.9999 0.1582  6 I 3.30-3.32

Results
Formation energy (no corrections), eV/atom: -1.472

# 4
Compound: Na4SrI6
Source: Alexandria
Functional: GGA-PBE
Structure: relaxed

Unit cell a=4.5602 b=7.9682 c=23.4375 alpha=90.00 beta=90.00 gamma=106.63
With the nearest neighbours (Å) after each atom.
Element x y z (fractional)
I: 0.5000 0.0000 0.5000  6 Na 3.25-3.28
I: 0.0512 0.1024 0.3360  3 Na 3.24-3.34, 2 Sr 3.41
Sr: 0.6526 0.3052 0.2500  6 I 3.31-3.41
I: 0.2292 0.4584 0.9134  5 Na 3.18-3.23
I: 0.6902 0.3804 0.7500  2 Na 3.26, 2 Sr 3.31
I: 0.5000 0.0000 0.0000  6 Na 3.25-3.28
Na: 0.1401 0.2801 0.0386  6 I 3.23-3.25
Na: 0.8599 0.7199 0.9614  6 I 3.23-3.25
Na: 0.1401 0.2801 0.4614  6 I 3.23-3.25
Na: 0.4030 0.8061 0.1248  6 I 3.18-3.34
I: 0.9488 0.8976 0.8360  3 Na 3.24-3.34, 2 Sr 3.41
I: 0.7708 0.5416 0.4134  5 Na 3.18-3.23
Sr: 0.3474 0.6948 0.7500  6 I 3.31-3.41
Na: 0.4030 0.8061 0.3752  6 I 3.18-3.34
I: 0.7708 0.5416 0.0866  5 Na 3.18-3.23
I: 0.2292 0.4584 0.5866  5 Na 3.18-3.23
Na: 0.5970 0.1939 0.8752  6 I 3.18-3.34
I: 0.3098 0.6196 0.2500  2 Na 3.26, 2 Sr 3.31
Na: 0.5970 0.1939 0.6248  6 I 3.18-3.34
I: 0.9488 0.8976 0.6640  3 Na 3.24-3.34, 2 Sr 3.41
I: 0.0512 0.1024 0.1640  3 Na 3.24-3.34, 2 Sr 3.41
Na: 0.8599 0.7199 0.5386  6 I 3.23-3.25

Results
Formation energy (no corrections), eV/atom: -1.366

# 5
Compound: NaSrI3
Source: Alexandria
Functional: GGA-PBE
Structure: relaxed

Unit cell a=5.1578 b=8.4075 c=15.8924 alpha=129.93 beta=90.00 gamma=90.00
With the nearest neighbours (Å) after each atom.
Element x y z (fractional)
I: 0.2500 0.3482 0.3704  1 Na 3.09, 2 Sr 3.42
I: 0.7500 0.1569 0.6390  3 Sr 3.35-3.36
I: 0.7500 0.3039 0.1252  3 Na 3.08-3.11
I: 0.2500 0.6961 0.8748  3 Na 3.08-3.11
Sr: 0.2500 0.3426 0.5904  7 I 3.35-3.53
I: 0.7500 0.6518 0.6296  1 Na 3.09, 2 Sr 3.42
Na: 0.2500 0.0975 0.1197  4 I 3.08-3.11
Na: 0.7500 0.9025 0.8803  4 I 3.08-3.11
I: 0.2500 0.8431 0.3610  3 Sr 3.35-3.36
Sr: 0.7500 0.6574 0.4096  7 I 3.35-3.53

Results
Formation energy (no corrections), eV/atom: -1.478

# 6
Compound: NaSrI2
Source: Alexandria
Functional: GGA-PBE
Structure: relaxed

Unit cell a=4.3910 b=4.3910 c=9.3915 alpha=76.48 beta=76.48 gamma=60.00
With the nearest neighbours (Å) after each atom.
Element x y z (fractional)
I: 0.7413 0.7413 0.7761  3 Na 3.24, 3 Sr 3.56
Sr: 0.5000 0.5000 0.5000  6 I 3.56
Na: 0.0000 0.0000 0.0000  6 I 3.24
I: 0.2587 0.2587 0.2239  3 Na 3.24, 3 Sr 3.56

Results
Relative energy among the computed polymorphs, meV/atom: 39
Formation energy (no corrections), eV/atom: -1.131

What did the first record say?
Compound: Na2Sr2I
Source: Alexandria
Functional: GGA-PBE
Structure: relaxed

Unit cell a=4.3763 b=4.3763 c=11.4802 alpha=79.01 beta=79.01 gamma=90.00
With the nearest neighbours (Å) after each atom.
Element x y z (fractional)
Sr: 0.3977 0.3977 0.2047  4 I 3.83, 4 Na 3.93
Na: 0.7500 0.2500 0.5000  4 Na 3.09
Sr: 0.6023 0.6023 0.7953  4 I 3.83, 4 Na 3.93
I: 0.0000 0.0000 0.0000  8 Sr 3.83
Na: 0.2500 0.7500 0.5000  4 Na 3.09

Results
Relative energy among the computed polymorphs, meV/atom: 45
Formation energy (no corrections), eV/atom: -0.287